CsK2ReO4: relaxed, PBE.

Its raw formation energy is -1.633 eV/atom. The crystal system is tetragonal.

Cell lengths 6.237, 6.237, 6.237 Å; angles 92.47, 118.58, 118.58 degrees
Element x y z (fractional)
Cs 0.500 0.250 0.750
Re 0.000 0.500 0.500
K 0.000 0.000 0.000
K 0.500 0.750 0.250
O 0.957 0.229 0.624
O 0.395 0.728 0.771
O 0.605 0.376 0.333
O 0.043 0.667 0.272

=====

KTi2Rh: relaxed, PBE.

As for the energy above the most stable polymorph in this dataset: 0 meV per atom. The crystal system is cubic. For the calculated formation energy, the calculation gives 0.644 eV/atom.

Cell lengths 4.689, 4.689, 4.689 Å; angles 60.00, 60.00, 60.00 degrees
Element x y z (fractional)
K 0.000 0.000 0.000
Ti 0.250 0.250 0.250
Ti 0.750 0.750 0.750
Rh 0.500 0.500 0.500

=====

TaPbF3: relaxed, PBE.

Its raw formation energy is -1.424 eV/atom. As for the energy above the most stable polymorph in this dataset: 0 meV per atom. The crystal system is cubic.

Cell lengths 4.368, 4.368, 4.368 Å; angles 90.00, 90.00, 90.00 degrees
Each line ends with the local moment (μB).
Element x y z (fractional)
Ta 0.000 0.000 0.000  1.62
F 0.500 0.000 0.000  0.10
F 0.000 0.000 0.500  0.04
F 0.000 0.500 0.000  0.04
Pb 0.500 0.500 0.500  0.09

=====

KMgIn2: relaxed, PBE.

The crystal system is monoclinic. For the calculated formation energy, the calculation gives -0.033 eV/atom.

Cell lengths 5.106, 5.106, 7.909 Å; angles 83.72, 83.72, 38.53 degrees
Element x y z (fractional)
In 0.508 0.508 0.432
In 0.992 0.992 0.068
Mg 0.250 0.250 0.250
K 0.750 0.750 0.750

=====

Li3PmSn: relaxed, PBE.

The crystal system is monoclinic. For the calculated formation energy, the calculation gives -0.313 eV/atom.

Cell lengths 7.565, 7.567, 10.670 Å; angles 135.12, 90.00, 90.00 degrees
Element x y z (fractional)
Li 0.881 0.452 0.333
Li 0.129 0.129 0.000
Li 0.371 0.129 0.500
Li 0.119 0.548 0.667
Li 0.619 0.785 0.166
Li 0.881 0.785 0.666
Li 0.381 0.215 0.834
Li 0.629 0.871 0.500
Li 0.871 0.871 0.000
Li 0.381 0.548 0.167
Li 0.619 0.452 0.833
Li 0.119 0.215 0.334
Pm 0.500 0.249 0.250
Pm 0.500 0.751 0.750
Pm 0.000 0.249 0.750
Pm 0.000 0.751 0.250
Sn 0.733 0.267 0.000
Sn 0.267 0.733 0.000
Sn 0.233 0.733 0.500
Sn 0.767 0.267 0.500

=====

TcAuSeN2: relaxed, PBE.

Its raw formation energy is 2.035 eV/atom. As for the energy above the most stable polymorph in this dataset: 1429 meV per atom. The crystal system is tetragonal.

Cell lengths 3.810, 3.810, 7.488 Å; angles 90.00, 90.00, 90.00 degrees
Each line ends with the local moment (μB).
Element x y z (fractional)
N 0.000 0.500 0.000  -0.02
N 0.500 0.000 0.000  -0.02
Tc 0.500 0.500 0.500  3.18
Se 0.000 0.000 0.500  0.11
Au 0.000 0.000 0.000  -0.01

=====

NaZn2ReB: relaxed, PBE.

The crystal system is tetragonal. For the calculated formation energy, the calculation gives 1.282 eV/atom.

Cell lengths 4.128, 4.657, 4.128 Å; angles 90.00, 90.00, 90.00 degrees
Each line ends with the local moment (μB).
Element x y z (fractional)
Re 0.500 0.500 0.500  2.71
Zn 0.500 0.000 0.000  0.00
Zn 0.000 0.000 0.500  0.01
Na 0.000 0.500 0.000  0.00
B 0.000 0.000 0.000  0.06

=====

LaSm2HoBi4: relaxed, PBE.

The crystal system is monoclinic. For the calculated formation energy, the calculation gives -0.927 eV/atom.

Cell lengths 4.579, 7.924, 7.914 Å; angles 70.53, 90.00, 90.00 degrees
Element x y z (fractional)
Bi 0.000 0.247 0.257
Bi 0.000 0.753 0.743
Bi 0.500 0.252 0.743
Bi 0.500 0.748 0.257
Ho 0.000 0.500 0.500
La 0.500 0.500 0.000
Sm 0.500 0.000 0.500
Sm 0.000 0.000 0.000

=====

Mn2AgCl: relaxed, PBE.

Its raw formation energy is 0.337 eV/atom. As for the energy above the most stable polymorph in this dataset: 230 meV per atom. The crystal system is monoclinic.

Cell lengths 3.112, 5.796, 5.576 Å; angles 47.09, 90.00, 90.00 degrees
Each line ends with the local moment (μB).
Element x y z (fractional)
Mn 0.000 0.000 0.000  4.02
Mn 0.500 0.500 0.000  4.06
Cl 0.000 0.000 0.500  0.09
Ag 0.500 0.500 0.500  0.05

=====

LaTcI3: relaxed, PBE.

Its raw formation energy is 0.154 eV/atom. As for the energy above the most stable polymorph in this dataset: 154 meV per atom. The crystal system is cubic.

Cell lengths 6.274, 6.274, 6.274 Å; angles 90.00, 90.00, 90.00 degrees
Each line ends with the local moment (μB).
Element x y z (fractional)
I 0.500 0.000 0.000  0.02
I 0.000 0.500 0.000  0.04
I 0.000 0.000 0.500  0.03
Tc 0.500 0.500 0.500  3.91
La 0.000 0.000 0.000  -0.13

=====

Ca3Er2PuTe6: relaxed, PBE.

Its raw formation energy is -1.394 eV/atom. The crystal system is monoclinic.

Cell lengths 7.645, 7.645, 7.736 Å; angles 99.48, 99.48, 120.03 degrees
Each line ends with the local moment (μB).
Element x y z (fractional)
Te 0.422 0.082 0.245  0.01
Te 0.918 0.578 0.755  0.01
Te 0.082 0.422 0.245  0.01
Te 0.578 0.918 0.755  0.01
Te 0.740 0.740 0.243  0.01
Te 0.260 0.260 0.757  0.01
Ca 0.836 0.164 0.500  -0.01
Ca 0.164 0.836 0.500  -0.01
Ca 0.500 0.500 0.500  -0.01
Er 0.333 0.667 0.000  -0.10
Er 0.667 0.333 0.000  -0.10
Pu 0.000 0.000 0.000  -5.59

=====

Be4Co3Ni: relaxed, PBE.

The crystal system is tetragonal. For the calculated formation energy, the calculation gives -0.359 eV/atom.

Cell lengths 2.599, 2.599, 10.379 Å; angles 90.00, 90.00, 90.00 degrees
Each line ends with the local moment (μB).
Element x y z (fractional)
Be 0.000 0.000 0.374  -0.02
Be 0.000 0.000 0.870  -0.01
Be 0.000 0.000 0.626  -0.02
Be 0.000 0.000 0.130  -0.01
Co 0.500 0.500 0.251  0.23
Co 0.500 0.500 0.749  0.23
Co 0.500 0.500 0.500  0.50
Ni 0.500 0.500 0.000  -0.02

=====

no.,E_tot (eV per cell)
1,-48.39
2,-21.66
3,-28.30
4,-8.30
5,-64.24
6,-23.60
7,-16.58
8,-41.89
9,-21.69
10,-19.17
11,-65.04
12,-44.88